# 1
# PBE SiMo2Pb, relaxed
data_SiMo2Pb
_chemical_formula_sum 'Si4 Mo8 Pb4'
_cell_length_a 6.5842
_cell_length_b 6.5842
_cell_length_c 6.5842
_cell_angle_alpha 90.00
_cell_angle_beta 90.00
_cell_angle_gamma 90.00
_symmetry_space_group_name_H-M 'F -4 3 m'
_symmetry_Int_Tables_number 216
_symmetry_space_group_name_Hall 'F -4 2 3'
loop_
_atom_site_label
_atom_site_type_symbol
_atom_site_fract_x
_atom_site_fract_y
_atom_site_fract_z
Si1 Si 0.0000 0.0000 0.0000
Mo1 Mo 0.0000 0.0000 0.5000
Mo2 Mo 0.2500 0.2500 0.2500
Pb1 Pb 0.2500 0.2500 0.7500
# ρ   9.94 Mg/m³
# DFT total energy   -7.06 eV per atom
# Uncorrected formation energy   0.636 eV/atom
# Size of the total moment   0.00 μB per cell

---

# 2
# PBE Na2GaBr3, relaxed
data_Na2GaBr3
_chemical_formula_sum 'Na4 Ga2 Br6'
_cell_length_a 4.3212
_cell_length_b 6.1523
_cell_length_c 13.0804
_cell_angle_alpha 90.00
_cell_angle_beta 90.00
_cell_angle_gamma 90.00
_symmetry_space_group_name_H-M 'I m m m'
_symmetry_Int_Tables_number 71
_symmetry_space_group_name_Hall '-I 2 2'
loop_
_atom_site_label
_atom_site_type_symbol
_atom_site_fract_x
_atom_site_fract_y
_atom_site_fract_z
Na1 Na 0.0000 0.0000 0.1657
Ga1 Ga 0.0000 0.0000 0.5000
Br1 Br 0.0000 0.5000 0.1754
Br2 Br 0.0000 0.5000 0.5000
# ρ   3.39 Mg/m³
# DFT total energy   -2.99 eV per atom
# Uncorrected formation energy   -1.211 eV/atom
# Size of the total moment   0.00 μB per cell

---

# 3
# PBE HgPt2Cl, relaxed
data_HgPt2Cl
_chemical_formula_sum 'Hg4 Pt8 Cl4'
_cell_length_a 4.0191
_cell_length_b 4.0191
_cell_length_c 19.1812
_cell_angle_alpha 90.00
_cell_angle_beta 90.00
_cell_angle_gamma 90.00
_symmetry_space_group_name_H-M 'I -4 2 d'
_symmetry_Int_Tables_number 122
_symmetry_space_group_name_Hall 'I -4 2bw'
loop_
_atom_site_label
_atom_site_type_symbol
_atom_site_fract_x
_atom_site_fract_y
_atom_site_fract_z
Hg1 Hg 0.0000 0.0000 0.0000
Pt1 Pt 0.2460 0.2500 0.6250
Cl1 Cl 0.0000 0.0000 0.5000
# ρ   13.42 Mg/m³
# DFT total energy   -3.16 eV per atom
# Uncorrected formation energy   0.402 eV/atom
# Size of the total moment   0.00 μB per cell

---

# 4
# PBE Co2Te4Pd, relaxed
data_Co2Te4Pd
_chemical_formula_sum 'Co8 Te16 Pd4'
_cell_length_a 7.6430
_cell_length_b 7.6430
_cell_length_c 10.8410
_cell_angle_alpha 90.00
_cell_angle_beta 90.00
_cell_angle_gamma 90.00
_symmetry_space_group_name_H-M 'I 41/a m d'
_symmetry_Int_Tables_number 141
loop_
_symmetry_equiv_pos_as_xyz
'x,y,z'
'-x,-y,-z'
'-y+1/4,x+3/4,z+1/4'
'y+1/4,-x+3/4,-z+1/4'
'-x+1/2,-y,z+1/2'
'x+1/2,y,-z+1/2'
'y+1/4,-x+1/4,z+3/4'
'-y+1/4,x+1/4,-z+3/4'
'x,-y,-z'
'-x,y,z'
'-y+1/4,-x+1/4,-z+3/4'
'y+1/4,x+1/4,z+3/4'
'-x+1/2,y,-z+1/2'
'x+1/2,-y,z+1/2'
'y+1/4,x+3/4,-z+1/4'
'-y+1/4,-x+3/4,z+1/4'
'x+1/2,y+1/2,z+1/2'
'-x+1/2,-y+1/2,-z+1/2'
'-y+3/4,x+1/4,z+3/4'
'y+3/4,-x+1/4,-z+3/4'
'-x,-y+1/2,z'
'x,y+1/2,-z'
'y+3/4,-x+3/4,z+1/4'
'-y+3/4,x+3/4,-z+1/4'
'x+1/2,-y+1/2,-z+1/2'
'-x+1/2,y+1/2,z+1/2'
'-y+3/4,-x+3/4,-z+1/4'
'y+3/4,x+3/4,z+1/4'
'-x,y+1/2,-z'
'x,-y+1/2,z'
'y+3/4,x+1/4,-z+3/4'
'-y+3/4,-x+1/4,z+3/4'
loop_
_atom_site_label
_atom_site_type_symbol
_atom_site_fract_x
_atom_site_fract_y
_atom_site_fract_z
Co1 Co 0.0000 0.0000 0.0000
Te1 Te 0.0000 0.0282 0.7648
Pd1 Pd 0.0000 0.2500 0.3750
# ρ   7.71 Mg/m³
# DFT total energy   -4.83 eV per atom
# Uncorrected formation energy   -0.258 eV/atom
# Size of the total moment   0.00 μB per cell

---

# 5
# PBE CoBP3, relaxed
data_CoBP3
_chemical_formula_sum 'Co1 B1 P3'
_cell_length_a 4.2852
_cell_length_b 4.2852
_cell_length_c 4.2852
_cell_angle_alpha 90.00
_cell_angle_beta 90.00
_cell_angle_gamma 90.00
_symmetry_space_group_name_H-M 'P m -3 m'
_symmetry_Int_Tables_number 221
_symmetry_space_group_name_Hall '-P 4 2 3'
loop_
_atom_site_label
_atom_site_type_symbol
_atom_site_fract_x
_atom_site_fract_y
_atom_site_fract_z
Co1 Co 0.0000 0.0000 0.0000
B1 B 0.5000 0.5000 0.5000
P1 P 0.0000 0.0000 0.5000
# ρ   3.43 Mg/m³
# DFT total energy   -4.69 eV per atom
# Size of the total moment   0.00 μB per cell
# Calculated formation energy   6.6 eV/f.u.

---

# 6
# PBE DyHgPt, relaxed
data_DyHgPt
_chemical_formula_sum 'Dy6 Hg6 Pt6'
_cell_length_a 13.3076
_cell_length_b 3.8192
_cell_length_c 7.8297
_cell_angle_alpha 90.00
_cell_angle_beta 90.00
_cell_angle_gamma 90.00
_symmetry_space_group_name_H-M 'P m m a'
_symmetry_Int_Tables_number 51
_symmetry_space_group_name_Hall '-P 2a 2a'
loop_
_atom_site_label
_atom_site_type_symbol
_atom_site_fract_x
_atom_site_fract_y
_atom_site_fract_z
Dy1 Dy 0.0513 0.0000 0.2270
Dy2 Dy 0.2500 0.0000 0.8170
Hg1 Hg 0.1068 0.5000 0.5634
Hg2 Hg 0.2500 0.5000 0.1735
Pt1 Pt 0.0945 0.5000 0.9286
Pt2 Pt 0.2500 0.0000 0.4391
# ρ   13.98 Mg/m³
# DFT total energy   -4.48 eV per atom
# Size of the total moment   0.00 μB per cell
# Calculated formation energy   -2.5 eV/f.u.

---

# 7
# PBE NbAl2V6, relaxed
data_NbAl2V6
_chemical_formula_sum 'Nb2 Al4 V12'
_cell_length_a 6.9794
_cell_length_b 13.6006
_cell_length_c 2.7968
_cell_angle_alpha 90.00
_cell_angle_beta 95.62
_cell_angle_gamma 90.00
_symmetry_space_group_name_H-M 'C 1 2/m 1'
_symmetry_Int_Tables_number 12
_symmetry_space_group_name_Hall '-C 2y'
loop_
_atom_site_label
_atom_site_type_symbol
_atom_site_fract_x
_atom_site_fract_y
_atom_site_fract_z
Nb1 Nb 0.0000 0.0000 0.0000
Al1 Al 0.0000 0.1816 0.5000
V1 V 0.1554 0.5000 0.3256
V2 V 0.1643 0.3409 0.8707
# ρ   5.69 Mg/m³
# DFT total energy   -8.01 eV per atom
# Size of the total moment   0.00 μB per cell
# Calculated formation energy   0.2 eV/f.u.

---

# 8
# PBE BaMn2Cr, relaxed
data_BaMn2Cr
_chemical_formula_sum 'Ba4 Mn8 Cr4'
_cell_length_a 6.3705
_cell_length_b 6.3705
_cell_length_c 6.3705
_cell_angle_alpha 90.00
_cell_angle_beta 90.00
_cell_angle_gamma 90.00
_symmetry_space_group_name_H-M 'F m -3 m'
_symmetry_Int_Tables_number 225
_symmetry_space_group_name_Hall '-F 4 2 3'
loop_
_atom_site_label
_atom_site_type_symbol
_atom_site_fract_x
_atom_site_fract_y
_atom_site_fract_z
Ba1 Ba 0.0000 0.0000 0.0000
Mn1 Mn 0.2500 0.2500 0.2500
Cr1 Cr 0.0000 0.0000 0.5000
# ρ   7.69 Mg/m³
# DFT total energy   -5.93 eV per atom
# Size of the total moment   0.00 μB per cell
# Calculated formation energy   6.1 eV/f.u.

---

# 9
# PBE ScNiBr2, relaxed
data_ScNiBr2
_chemical_formula_sum 'Sc3 Ni3 Br6'
_cell_length_a 3.5216
_cell_length_b 3.5216
_cell_length_c 22.2019
_cell_angle_alpha 90.00
_cell_angle_beta 90.00
_cell_angle_gamma 120.00
_symmetry_space_group_name_H-M 'R -3 m'
_symmetry_Int_Tables_number 166
_symmetry_space_group_name_Hall '-R 3 2"'
loop_
_atom_site_label
_atom_site_type_symbol
_atom_site_fract_x
_atom_site_fract_y
_atom_site_fract_z
Sc1 Sc 0.0000 0.0000 0.0000
Ni1 Ni 0.0000 0.0000 0.5000
Br1 Br 0.0000 0.0000 0.2442
# ρ   5.50 Mg/m³
# DFT total energy   -4.12 eV per atom
# Uncorrected formation energy   -0.259 eV/atom
# Size of the total moment   1.96 μB per cell

---

# 10
# PBE DyYSbTe, relaxed
data_DyYSbTe
_chemical_formula_sum 'Dy3 Y3 Sb3 Te3'
_cell_length_a 4.2928
_cell_length_b 4.2928
_cell_length_c 22.6145
_cell_angle_alpha 90.00
_cell_angle_beta 90.00
_cell_angle_gamma 120.00
_symmetry_space_group_name_H-M 'R 3 m'
_symmetry_Int_Tables_number 160
_symmetry_space_group_name_Hall 'R 3 -2"'
loop_
_atom_site_label
_atom_site_type_symbol
_atom_site_fract_x
_atom_site_fract_y
_atom_site_fract_z
Dy1 Dy 0.0000 0.0000 0.0000
Y1 Y 0.0000 0.0000 0.1785
Sb1 Sb 0.0000 0.0000 0.5911
Te1 Te 0.0000 0.0000 0.4213
# ρ   6.91 Mg/m³
# DFT total energy   -5.80 eV per atom
# Uncorrected formation energy   -1.222 eV/atom
# Size of the total moment   0.00 μB per cell

---

# 11
# PBE Re4N, relaxed
data_Re4N
_chemical_formula_sum 'Re4 N1'
_cell_length_a 4.0562
_cell_length_b 4.0562
_cell_length_c 4.0562
_cell_angle_alpha 90.00
_cell_angle_beta 90.00
_cell_angle_gamma 90.00
_symmetry_space_group_name_H-M 'P m -3 m'
_symmetry_Int_Tables_number 221
_symmetry_space_group_name_Hall '-P 4 2 3'
loop_
_atom_site_label
_atom_site_type_symbol
_atom_site_fract_x
_atom_site_fract_y
_atom_site_fract_z
Re1 Re 0.0000 0.0000 0.0000
Re2 Re 0.0000 0.5000 0.5000
N1 N 0.5000 0.5000 0.5000
# ρ   18.88 Mg/m³
# DFT total energy   -11.35 eV per atom
# Uncorrected formation energy   0.273 eV/atom
# Size of the total moment   0.00 μB per cell

---

# 12
# PBE Tb2YNi2, relaxed
data_Tb2YNi2
_chemical_formula_sum 'Tb4 Y2 Ni4'
_cell_length_a 11.3942
_cell_length_b 3.8007
_cell_length_c 5.5336
_cell_angle_alpha 90.00
_cell_angle_beta 104.41
_cell_angle_gamma 90.00
_symmetry_space_group_name_H-M 'C 1 2/m 1'
_symmetry_Int_Tables_number 12
_symmetry_space_group_name_Hall '-C 2y'
loop_
_atom_site_label
_atom_site_type_symbol
_atom_site_fract_x
_atom_site_fract_y
_atom_site_fract_z
Tb1 Tb 0.1485 0.0000 0.0923
Y1 Y 0.0000 0.5000 0.5000
Ni1 Ni 0.2128 0.0000 0.6127
# ρ   7.50 Mg/m³
# DFT total energy   -5.68 eV per atom
# Size of the total moment   0.00 μB per cell
# Calculated formation energy   -1.1 eV/f.u.